[1]
The following is a PBE-GGA calculation of a relaxed structure of KIn10Ag2, from Alexandria via LeMat-Bulk.

abc: 10.951 8.854 7.684
angles: 82.61 53.30 44.09
Element x y z (fractional)
K 0.000 0.000 0.000
In 0.000 0.000 0.500
In 0.012 0.354 0.646
In 0.273 0.489 0.511
In 0.354 0.012 0.988
In 0.489 0.273 0.727
In 0.500 0.500 0.000
In 0.511 0.727 0.273
In 0.646 0.988 0.012
In 0.727 0.511 0.489
In 0.988 0.646 0.354
Ag 0.000 0.500 0.000
Ag 0.500 0.000 0.500

***

[2]
The following is a PBE-GGA calculation of a relaxed structure of KInAg2, from Alexandria via LeMat-Bulk.

abc: 9.870 9.870 9.870
angles: 20.87 20.87 20.87
Element x y z (fractional)
K 0.000 0.000 0.000
In 0.500 0.500 0.500
Ag 0.237 0.237 0.237
Ag 0.763 0.763 0.763

***

[3]
The following is a PBE-GGA calculation of a relaxed structure of K2In3Ag2, from Alexandria via LeMat-Bulk.

abc: 6.714 6.714 8.301
angles: 119.57 119.57 42.07
Element x y z (fractional)
K 0.140 0.140 0.268
K 0.860 0.860 0.732
In 0.350 0.350 0.065
In 0.500 0.500 0.500
In 0.650 0.650 0.935
Ag 0.117 0.117 0.698
Ag 0.883 0.883 0.302

***

[4]
The following is a PBE-GGA calculation of a relaxed structure of K3In6Ag5, from Alexandria via LeMat-Bulk.

abc: 4.887 14.455 10.409
angles: 90.00 90.00 90.00
Element x y z (fractional)
K 0.250 0.048 0.246
K 0.250 0.452 0.246
K 0.250 0.750 0.264
K 0.750 0.250 0.736
K 0.750 0.548 0.754
K 0.750 0.952 0.754
In 0.250 0.069 0.586
In 0.250 0.250 0.046
In 0.250 0.250 0.412
In 0.250 0.431 0.586
In 0.250 0.601 0.980
In 0.250 0.899 0.980
In 0.750 0.101 0.020
In 0.750 0.399 0.020
In 0.750 0.569 0.414
In 0.750 0.750 0.588
In 0.750 0.750 0.954
In 0.750 0.931 0.414
Ag 0.250 0.091 0.869
Ag 0.250 0.409 0.869
Ag 0.250 0.636 0.548
Ag 0.250 0.750 0.780
Ag 0.250 0.864 0.548
Ag 0.750 0.136 0.452
Ag 0.750 0.250 0.220
Ag 0.750 0.364 0.452
Ag 0.750 0.591 0.131
Ag 0.750 0.909 0.131

***

[5]
The following is a PBE-GGA calculation of a relaxed structure of K3In2Ag2, from Alexandria via LeMat-Bulk.

abc: 6.947 9.312 14.943
angles: 90.00 90.00 90.00
Element x y z (fractional)
K 0.128 0.112 0.099
K 0.128 0.112 0.401
K 0.128 0.388 0.599
K 0.128 0.388 0.901
K 0.335 0.722 0.750
K 0.335 0.778 0.250
K 0.665 0.222 0.750
K 0.665 0.278 0.250
K 0.872 0.612 0.099
K 0.872 0.612 0.401
K 0.872 0.888 0.599
K 0.872 0.888 0.901
In 0.192 0.084 0.750
In 0.192 0.416 0.250
In 0.391 0.750 0.000
In 0.391 0.750 0.500
In 0.609 0.250 0.000
In 0.609 0.250 0.500
In 0.808 0.584 0.750
In 0.808 0.916 0.250
Ag 0.387 0.024 0.588
Ag 0.387 0.024 0.912
Ag 0.387 0.476 0.088
Ag 0.387 0.476 0.412
Ag 0.613 0.524 0.588
Ag 0.613 0.524 0.912
Ag 0.613 0.976 0.088
Ag 0.613 0.976 0.412

***

[6]
The following is a PBE-GGA calculation of a relaxed structure of KIn6Ag, from Alexandria via LeMat-Bulk.

abc: 5.042 5.042 9.152
angles: 90.00 90.00 90.00
Element x y z (fractional)
K 0.000 0.000 0.000
In 0.000 0.500 0.332
In 0.000 0.500 0.668
In 0.500 0.000 0.332
In 0.500 0.000 0.668
In 0.500 0.500 0.156
In 0.500 0.500 0.844
Ag 0.000 0.000 0.500

***

[7]
The following is a PBE-GGA calculation of a relaxed structure of K2In12Ag, from Alexandria via LeMat-Bulk.

abc: 7.030 7.030 17.985
angles: 90.00 90.00 90.00
Element x y z (fractional)
K 0.250 0.750 0.248
K 0.250 0.750 0.752
K 0.750 0.250 0.248
K 0.750 0.250 0.752
In 0.000 0.000 0.086
In 0.000 0.000 0.914
In 0.000 0.500 0.086
In 0.000 0.500 0.914
In 0.084 0.584 0.432
In 0.084 0.916 0.568
In 0.250 0.250 0.180
In 0.250 0.250 0.343
In 0.250 0.250 0.657
In 0.250 0.250 0.820
In 0.416 0.584 0.568
In 0.416 0.916 0.432
In 0.500 0.000 0.086
In 0.500 0.000 0.914
In 0.500 0.500 0.086
In 0.500 0.500 0.914
In 0.584 0.084 0.568
In 0.584 0.416 0.432
In 0.750 0.750 0.180
In 0.750 0.750 0.343
In 0.750 0.750 0.657
In 0.750 0.750 0.820
In 0.916 0.084 0.432
In 0.916 0.416 0.568
Ag 0.250 0.750 0.000
Ag 0.750 0.250 0.000

***

[8]
The following is a PBE-GGA calculation of a relaxed structure of KInAg, from Alexandria via LeMat-Bulk.

abc: 6.708 6.708 6.089
angles: 90.00 90.00 138.02
Element x y z (fractional)
K 0.220 0.780 0.750
K 0.780 0.220 0.250
In 0.500 0.500 0.000
In 0.500 0.500 0.500
Ag 0.044 0.956 0.250
Ag 0.956 0.044 0.750

***

[9]
The following is a PBE-GGA calculation of a relaxed structure of K2InAg, from Alexandria via LeMat-Bulk.

abc: 8.877 8.877 8.877
angles: 95.25 95.25 144.79
Element x y z (fractional)
K 0.375 0.228 0.353
K 0.772 0.125 0.147
K 0.875 0.022 0.647
K 0.978 0.625 0.853
In 0.250 0.750 0.500
In 0.500 0.500 0.000
Ag 0.000 0.000 0.000
Ag 0.750 0.250 0.500

***

[10]
The following is a PBE-GGA calculation of a relaxed structure of K2In5Ag3, from Alexandria via LeMat-Bulk.

abc: 14.194 14.194 7.711
angles: 90.00 90.00 159.93
Element x y z (fractional)
K 0.020 0.980 0.500
K 0.324 0.676 0.446
K 0.676 0.324 0.946
K 0.980 0.020 0.000
In 0.103 0.897 0.148
In 0.206 0.794 0.630
In 0.209 0.791 0.237
In 0.375 0.625 0.987
In 0.447 0.553 0.322
In 0.553 0.447 0.822
In 0.625 0.375 0.487
In 0.791 0.209 0.737
In 0.794 0.206 0.130
In 0.897 0.103 0.648
Ag 0.110 0.890 0.761
Ag 0.272 0.728 0.927
Ag 0.448 0.552 0.708
Ag 0.552 0.448 0.208
Ag 0.728 0.272 0.427
Ag 0.890 0.110 0.261

***

[11]
The following is a PBE-GGA calculation of a relaxed structure of K3In3Ag2, from Alexandria via LeMat-Bulk.

abc: 9.231 17.264 6.658
angles: 90.00 90.00 90.00
Element x y z (fractional)
K 0.037 0.111 0.107
K 0.037 0.389 0.107
K 0.198 0.250 0.591
K 0.302 0.750 0.091
K 0.463 0.611 0.607
K 0.463 0.889 0.607
K 0.537 0.111 0.393
K 0.537 0.389 0.393
K 0.698 0.250 0.909
K 0.802 0.750 0.409
K 0.963 0.611 0.893
K 0.963 0.889 0.893
In 0.159 0.750 0.572
In 0.180 0.035 0.611
In 0.180 0.465 0.611
In 0.320 0.535 0.111
In 0.320 0.965 0.111
In 0.341 0.250 0.072
In 0.659 0.750 0.928
In 0.680 0.035 0.889
In 0.680 0.465 0.889
In 0.820 0.535 0.389
In 0.820 0.965 0.389
In 0.841 0.250 0.428
Ag 0.109 0.603 0.387
Ag 0.109 0.897 0.387
Ag 0.391 0.103 0.887
Ag 0.391 0.397 0.887
Ag 0.609 0.603 0.113
Ag 0.609 0.897 0.113
Ag 0.891 0.103 0.613
Ag 0.891 0.397 0.613

***

[12]
The following is a PBE-GGA calculation of a relaxed structure of K2InAg, from Alexandria via LeMat-Bulk.

abc: 4.968 4.968 8.242
angles: 106.90 106.90 59.93
Element x y z (fractional)
K 0.000 0.000 0.000
K 0.184 0.184 0.569
In 0.425 0.425 0.284
Ag 0.759 0.759 0.286

***

| no. | ΔE_f (kcal/mol of atoms) | D(E_F) (states/eV per atom) |
| --- | --- | --- |
| 1 | -0.45 | 0.54 |
| 2 | 4.47 | 0.23 |
| 3 | -2.48 | 0.30 |
| 4 | -1.55 | 0.38 |
| 5 | -1.13 | 0.61 |
| 6 | -1.94 | 0.32 |
| 7 | -1.58 | 0.50 |
| 8 | -1.65 | 0.29 |
| 9 | 1.81 | 0.76 |
| 10 | -1.30 | 0.49 |
| 11 | -0.63 | 0.66 |
| 12 | -0.72 | 0.60 |